Run one
A crystal of BaSrCa relaxed with PBEsol. Source: Alexandria via LeMat-Bulk, functional meta-GGA SCAN.

Cell and atoms, written as CIF:
```
data_BaSrCa
_cell_length_a 4.795
_cell_length_b 6.427
_cell_length_c 19.214
_cell_angle_alpha 90.00
_cell_angle_beta 90.00
_cell_angle_gamma 90.00
_symmetry_space_group_name_H-M 'F m m 2'
_symmetry_Int_Tables_number 42
_symmetry_space_group_name_Hall 'F 2 -2'
loop_
_atom_site_label
_atom_site_fract_x
_atom_site_fract_y
_atom_site_fract_z
Ba1 0.000 0.000 0.000
Sr1 0.000 0.000 0.325
Ca1 0.000 0.000 0.664
```

=====

Run two
A crystal of BaSrCa relaxed with PBEsol. Source: Alexandria via LeMat-Bulk, functional meta-GGA SCAN.

Cell and atoms, written as CIF:
```
data_BaSrCa
_cell_length_a 4.207
_cell_length_b 4.207
_cell_length_c 17.090
_cell_angle_alpha 90.00
_cell_angle_beta 90.00
_cell_angle_gamma 90.00
_symmetry_space_group_name_H-M 'I 4 m m'
_symmetry_Int_Tables_number 107
_symmetry_space_group_name_Hall 'I 4 -2'
loop_
_atom_site_label
_atom_site_fract_x
_atom_site_fract_y
_atom_site_fract_z
Ba1 0.000 0.000 0.000
Sr1 0.000 0.000 0.320
Ca1 0.000 0.000 0.664
```

=====

In meV per atom, relative to the most stable structure: run one 5; run two 0.

=====

Run one
A crystal of BaSrCa relaxed with PBEsol. Source: Alexandria via LeMat-Bulk, functional meta-GGA SCAN.

Cell and atoms, written as CIF:
```
data_BaSrCa
_cell_length_a 4.189
_cell_length_b 5.753
_cell_length_c 12.530
_cell_angle_alpha 90.00
_cell_angle_beta 90.00
_cell_angle_gamma 90.00
_symmetry_space_group_name_H-M 'I m m 2'
_symmetry_Int_Tables_number 44
loop_
_symmetry_equiv_pos_as_xyz
'x,y,z'
'-x,-y,z'
'-x,y,z'
'x,-y,z'
'x+1/2,y+1/2,z+1/2'
'-x+1/2,-y+1/2,z+1/2'
'-x+1/2,y+1/2,z+1/2'
'x+1/2,-y+1/2,z+1/2'
loop_
_atom_site_label
_atom_site_fract_x
_atom_site_fract_y
_atom_site_fract_z
Ba1 0.000 0.000 0.000
Sr1 0.000 0.000 0.674
Ca1 0.000 0.000 0.334
```

=====

Run two
A crystal of BaSrCa relaxed with PBEsol. Source: Alexandria via LeMat-Bulk, functional meta-GGA SCAN.

Cell and atoms, written as CIF:
```
data_BaSrCa
_cell_length_a 6.5419
_cell_length_b 6.5419
_cell_length_c 3.9720
_cell_angle_alpha 90.00
_cell_angle_beta 90.00
_cell_angle_gamma 120.00
_symmetry_space_group_name_H-M 'P 3 m 1'
_symmetry_Int_Tables_number 156
loop_
_symmetry_equiv_pos_as_xyz
'x,y,z'
'-y,x-y,z'
'-x+y,-x,z'
'-y,-x,z'
'-x+y,y,z'
'x,x-y,z'
loop_
_atom_site_label
_atom_site_fract_x
_atom_site_fract_y
_atom_site_fract_z
Ba1 0.0000 0.0000 0.0000
Sr1 0.3333 0.6667 0.3422
Ca1 0.6667 0.3333 0.6610
```

=====

In meV per atom, relative to the most stable structure: run one 0; run two 5.